No. 1
# KVSe2 PBE relaxed
data_KVSe2
_space_group_name_H-M_alt 'P n m a'
_space_group_IT_number 62
_space_group_name_Hall '-P 2ac 2n'
_cell_length_a 7.483
_cell_length_b 4.741
_cell_length_c 11.891
_cell_angle_alpha 90.00
_cell_angle_beta 90.00
_cell_angle_gamma 90.00
loop_
_atom_site_label
_atom_site_type_symbol
_atom_site_fract_x
_atom_site_fract_y
_atom_site_fract_z
_atom_site_occupancy
K1 K 0.157 0.250 0.129 1
V1 V 0.079 0.750 0.374 1
Se1 Se 0.123 0.250 0.782 1
Se2 Se 0.128 0.250 0.452 1
# **Uncorrected formation energy**: -0.847 eV per atom
# **DOS(E_F)**: 7.85 states/eV/cell
# **Total DFT energy (no corrections)**: -5.14 eV/atom

---

No. 2
# Li2AuCl PBE relaxed
data_Li2AuCl
_space_group_name_H-M_alt 'R 3 m'
_space_group_IT_number 160
_space_group_name_Hall 'R 3 -2"'
_cell_length_a 3.5535
_cell_length_b 3.5535
_cell_length_c 19.8993
_cell_angle_alpha 90.00
_cell_angle_beta 90.00
_cell_angle_gamma 120.00
loop_
_atom_site_label
_atom_site_type_symbol
_atom_site_fract_x
_atom_site_fract_y
_atom_site_fract_z
_atom_site_occupancy
Li1 Li 0.0000 0.0000 0.0000 1
Li2 Li 0.0000 0.0000 0.1821 1
Au1 Au 0.0000 0.0000 0.7589 1
Cl1 Cl 0.0000 0.0000 0.5906 1
# **Uncorrected formation energy**: -0.991 eV per atom
# **Total DFT energy (no corrections)**: -3.23 eV/atom
# **Excess energy over the best structure of this formula in the dataset**: 17 meV/atom